(1)
The following is a GGA-PBE calculation of a geometry-optimized SrLiP2S6 structure, from Alexandria via LeMat-Bulk.

M_tot: 0.0 Bohr magnetons per cell
DFT total energy: -92.04 eV per cell
ΔE_f (raw): -0.6841 eV/atom
D(E_F): 6.2 states/eV per cell

The structure in POSCAR format:
```
SrLiP2S6
1.0
7.638 0.318 0.330
2.815 8.122 0.574
2.815 0.273 8.138
S Li P Sr
12 2 4 2
Cartesian
8.010 5.304 6.266
6.755 7.488 3.981
10.574 3.860 7.796
6.909 0.642 1.755
2.693 4.854 1.246
3.090 1.571 0.541
6.512 1.225 5.062
5.257 3.409 2.777
10.177 7.142 8.501
9.076 2.807 3.675
4.191 5.906 5.368
6.358 8.072 7.287
8.543 6.449 2.665
4.724 2.265 6.378
2.901 2.990 2.010
10.365 5.723 7.033
6.547 6.657 5.815
6.720 2.057 3.227
4.724 6.919 1.893
8.543 1.794 7.149
```

---

(2)
The following is a GGA-PBE calculation of a geometry-optimized SrLiPS2 structure, from Alexandria via LeMat-Bulk.

M_tot: 0.0 Bohr magnetons per cell
Energy above the lowest structure with this stoichiometry: 0.0 meV/atom
DFT total energy: -19.51 eV per cell
ΔE_f (raw): -0.4499 eV/atom
D(E_F): 4.2 states/eV per cell

The structure in POSCAR format:
```
SrLiPS2
1.0
-3.502 3.036 -1.311
-2.313 -0.884 4.131
2.131 3.276 1.894
Li S Sr P
1 2 1 1
Cartesian
0.000 0.000 0.000
-1.156 -0.442 2.065
-1.751 1.518 -0.655
-1.842 2.714 2.357
1.065 1.638 0.947
```

---

(3)
The following is a GGA-PBE calculation of a geometry-optimized LiTaP2S structure, from Alexandria via LeMat-Bulk.

M_tot: 0.0 Bohr magnetons per cell
Energy above the lowest structure with this stoichiometry: 0.0 meV/atom
DFT total energy: -29.30 eV per cell
ΔE_f (raw): -0.1170 eV/atom
D(E_F): 4.3 states/eV per cell

The structure in POSCAR format:
```
LiTaP2S
1.0
4.858 0.000 0.000
0.000 4.858 0.000
0.000 0.000 4.793
P S Li Ta
2 1 1 1
Cartesian
0.000 2.429 0.000
2.429 0.000 0.000
0.000 0.000 2.396
2.429 2.429 2.396
0.000 0.000 0.000
```

---

(4)
The following is a GGA-PBE calculation of a geometry-optimized LiTaP2S structure, from Alexandria via LeMat-Bulk.

M_tot: 0.0 Bohr magnetons per cell
Energy above the lowest structure with this stoichiometry: 881.7 meV/atom
DFT total energy: -24.89 eV per cell
ΔE_f (raw): 0.7647 eV/atom
D(E_F): 3.2 states/eV per cell

The structure in POSCAR format:
```
LiTaP2S
1.0
4.110 0.000 0.000
0.000 4.110 0.000
0.000 0.000 4.571
Ta P Li S
1 2 1 1
Cartesian
2.055 2.055 2.286
0.000 2.055 0.000
2.055 0.000 0.000
0.000 0.000 0.000
0.000 0.000 2.286
```

---

(5)
The following is a GGA-PBE calculation of a geometry-optimized LiTbPS4 structure, from Alexandria via LeMat-Bulk.

M_tot: 0.0 Bohr magnetons per cell
DFT total energy: -69.86 eV per cell
ΔE_f (raw): -0.9238 eV/atom
D(E_F): 3.6 states/eV per cell

The structure in POSCAR format:
```
LiTbPS4
1.0
-1.945 1.920 6.906
-6.847 -1.493 2.480
-0.752 -5.225 5.235
S Tb P Li
8 2 2 2
Cartesian
-3.703 -2.863 9.641
-2.400 -1.008 3.598
-6.767 -1.020 8.266
-5.841 -1.934 4.980
-3.544 -0.309 7.075
-7.144 -3.789 11.023
-2.778 -3.776 6.355
-6.001 -4.488 7.545
0.000 0.000 0.000
-3.800 -3.359 3.857
-5.559 -0.339 6.516
-3.985 -4.458 8.105
-0.376 -2.612 2.617
-1.348 -1.652 6.070
```

---

(6)
The following is a GGA-PBE calculation of a geometry-optimized LiTePS2 structure, from Alexandria via LeMat-Bulk.

M_tot: 1.4 Bohr magnetons per cell
Energy above the lowest structure with this stoichiometry: 0.0 meV/atom
DFT total energy: -16.43 eV per cell
ΔE_f (raw): 0.4589 eV/atom
D(E_F): 2.8 states/eV per cell

The structure in POSCAR format:
```
LiTePS2
1.0
5.172 0.000 0.000
0.000 5.172 0.000
0.000 0.000 5.093
P S Te Li
1 2 1 1
Cartesian
0.000 0.000 2.546
2.586 0.000 0.000
0.000 2.586 0.000
0.000 0.000 0.000
2.586 2.586 2.546
```

---

(7)
The following is a GGA-PBE calculation of a geometry-optimized LiThP2S8 structure, from Alexandria via LeMat-Bulk.

M_tot: 0.0 Bohr magnetons per cell
DFT total energy: -60.73 eV per cell
ΔE_f (raw): -0.6301 eV/atom
D(E_F): 3.7 states/eV per cell

The structure in POSCAR format:
```
LiThP2S8
1.0
6.288 0.000 0.000
-3.144 5.445 0.000
0.000 0.000 8.833
Li S P Th
1 8 2 1
Cartesian
0.000 0.000 0.000
-1.658 4.587 6.789
3.144 1.815 4.770
3.144 3.729 2.044
0.000 3.630 4.063
1.658 4.587 6.789
1.486 0.858 2.044
0.000 1.716 6.789
4.802 0.858 2.044
0.000 3.630 6.069
3.144 1.815 2.764
0.000 0.000 4.417
```

---

(8)
The following is a GGA-PBE calculation of a geometry-optimized LiTiPS2 structure, from Alexandria via LeMat-Bulk.

M_tot: 0.3 Bohr magnetons per cell
Energy above the lowest structure with this stoichiometry: 0.0 meV/atom
DFT total energy: -25.79 eV per cell
ΔE_f (raw): -0.4623 eV/atom
D(E_F): 3.9 states/eV per cell

The structure in POSCAR format:
```
LiTiPS2
1.0
4.733 0.000 0.000
0.000 4.733 0.000
0.000 0.000 4.741
S Ti P Li
2 1 1 1
Cartesian
0.000 2.367 0.000
2.367 0.000 0.000
0.000 0.000 0.000
0.000 0.000 2.371
2.367 2.367 2.371
```

---

(9)
The following is a GGA-PBE calculation of a geometry-optimized LiTiP2S structure, from Alexandria via LeMat-Bulk.

M_tot: 0.0 Bohr magnetons per cell
Energy above the lowest structure with this stoichiometry: 0.0 meV/atom
DFT total energy: -25.79 eV per cell
ΔE_f (raw): -0.2062 eV/atom
D(E_F): 3.1 states/eV per cell

The structure in POSCAR format:
```
LiTiP2S
1.0
-0.967 -1.596 4.334
-0.098 -4.420 -1.649
4.647 -0.431 0.879
S P Ti Li
1 2 1 1
Cartesian
2.324 -0.216 0.439
-0.049 -2.210 -0.825
-0.484 -0.798 2.167
0.000 0.000 0.000
1.791 -3.223 1.782
```

---

(10)
The following is a GGA-PBE calculation of a geometry-optimized LiTiP2S structure, from Alexandria via LeMat-Bulk.

M_tot: 0.9 Bohr magnetons per cell
Energy above the lowest structure with this stoichiometry: 648.4 meV/atom
DFT total energy: -22.55 eV per cell
ΔE_f (raw): 0.4422 eV/atom
D(E_F): 4.5 states/eV per cell

The structure in POSCAR format:
```
LiTiP2S
1.0
-1.501 -3.355 -1.835
2.414 -2.360 2.340
-3.461 -0.261 3.307
Ti S Li P
1 1 1 2
Cartesian
-1.273 -2.988 1.906
-1.730 -0.130 1.653
0.000 0.000 0.000
-0.750 -1.677 -0.918
1.207 -1.180 1.170
```

---

(11)
The following is a GGA-PBE calculation of a geometry-optimized LiTiPS2 structure, from Alexandria via LeMat-Bulk.

M_tot: 0.0 Bohr magnetons per cell
Energy above the lowest structure with this stoichiometry: 768.9 meV/atom
DFT total energy: -21.94 eV per cell
ΔE_f (raw): 0.3066 eV/atom
D(E_F): 6.2 states/eV per cell

The structure in POSCAR format:
```
LiTiPS2
1.0
4.382 0.000 0.000
0.000 4.382 0.000
0.000 0.000 4.234
Li Ti S P
1 1 2 1
Cartesian
0.000 0.000 0.000
2.191 2.191 2.117
2.191 0.000 0.000
0.000 2.191 0.000
0.000 0.000 2.117
```

---

(12)
The following is a GGA-PBE calculation of a geometry-optimized LiTl2P2S6 structure, from Alexandria via LeMat-Bulk.

M_tot: 0.0 Bohr magnetons per cell
DFT total energy: -46.38 eV per cell
ΔE_f (raw): -0.3772 eV/atom
D(E_F): 7.9 states/eV per cell

The structure in POSCAR format:
```
LiTl2P2S6
1.0
-3.533 -1.512 5.566
3.222 -1.834 5.657
0.186 5.525 5.729
S P Li Tl
6 2 1 2
Cartesian
-1.803 -0.101 7.047
0.058 3.202 7.058
1.596 -0.263 7.093
1.679 2.279 9.905
-1.720 2.441 9.859
-0.182 -1.024 9.894
-0.110 0.001 8.150
-0.015 2.177 8.802
0.000 0.000 0.000
-0.114 1.154 12.570
-0.010 1.025 4.382
```